[1]
LiTh2Zn3Ga4 | Alexandria | GGA-PBE | relaxed; E_tot = -3.6835 eV/atom; energy of formation = -415 meV/atom; space group = P-4m2, No. 115; spin magnetization = 0.00 μB per formula unit
1.0
4.272 0.000 0.000
0.000 4.272 0.000
0.000 0.000 10.529
Li Th Zn Ga
1 2 3 4
Cartesian
2.136 2.136 5.265
2.136 0.000 2.642
0.000 2.136 7.887
0.000 0.000 5.265
2.136 0.000 9.102
0.000 2.136 1.428
2.136 2.136 0.000
0.000 0.000 0.000
2.136 0.000 6.653
0.000 2.136 3.876

***

[2]
TiSbIr2W | Alexandria | GGA-PBE | relaxed; E_tot = -7.2339 eV/atom; E_form (uncorrected) = 1.305 eV/atom; space group = P4/mmm, No. 123; spin magnetization = 1.24 μB per formula unit
1.0
-2.537 1.162 3.686
1.917 -3.571 2.446
3.381 2.804 1.444
Sb Ir W Ti
1 2 1 1
Cartesian
1.380 0.197 3.787
1.690 1.402 0.722
-1.269 0.581 1.843
0.959 -1.786 1.223
0.000 0.000 0.000

***

[3]
Cd3I | Alexandria | GGA-PBE | relaxed; E_tot = -1.0665 eV/atom; E_form (uncorrected) = 0.007 eV/atom; space group = P4mm, No. 99; spin magnetization = 0.00 μB per formula unit
1.0
-1.941 1.638 -3.407
-2.759 -3.230 0.019
-4.178 3.594 4.108
I Cd
1 3
Cartesian
-2.855 -0.346 1.460
-3.712 3.193 3.650
-3.216 2.750 0.505
-6.059 2.393 1.952

***

[4]
Sb6PdPt | Alexandria | GGA-PBE | relaxed; E_tot = -4.7772 eV/atom; E_form (uncorrected) = -0.281 eV/atom; space group = C2/m, No. 12; spin magnetization = 0.00 μB per formula unit
1.0
7.842 -0.051 -2.753
-3.905 6.801 -2.754
-0.016 -0.020 8.262
Sb Pd Pt
12 2 2
Cartesian
-1.399 4.446 4.449
5.320 2.284 -1.695
4.046 4.383 -0.032
-0.125 2.347 2.787
5.736 0.994 2.755
-1.814 5.736 -0.001
0.615 5.709 1.703
3.307 1.021 1.052
1.970 5.468 -2.762
1.951 1.262 5.517
3.173 3.356 3.808
0.748 3.373 -1.053
-0.008 -0.010 4.131
1.961 3.365 1.377
-1.952 3.400 -1.377
3.921 -0.025 -1.377

***

[5]
MoC2 | Alexandria | GGA-PBE | relaxed; E_tot = -8.7647 eV/atom; E above lowest polymorph = 476 meV/atom; energy of formation = 995 meV/atom; space group = I4/mmm, No. 139; spin magnetization = 0.00 μB per formula unit
1.0
-0.736 -1.319 -3.341
-1.985 -3.042 0.498
-0.481 3.372 1.356
Mo C
1 2
Cartesian
0.000 0.000 0.000
-1.038 -1.663 -1.084
-1.683 -2.698 -1.758

***

[6]
CaCuSe2Br | Alexandria | GGA-PBE | relaxed; E_tot = -3.5679 eV/atom; E above lowest polymorph = 0 meV/atom; E_form (uncorrected) = -0.620 eV/atom; space group = P4/mmm, No. 123; spin magnetization = 0.00 μB per formula unit
1.0
-4.254 0.072 2.142
1.654 -2.919 3.382
1.545 4.264 2.924
Ca Cu Se Br
1 1 2 1
Cartesian
-0.528 0.709 4.225
0.000 0.000 0.000
0.827 -1.459 1.691
-2.127 0.036 1.071
0.773 2.132 1.462

***

[7]
CoB2W2 | Alexandria | GGA-PBE | relaxed; E_tot = -9.7350 eV/atom; energy of formation = -462 meV/atom; space group = Immm, No. 71; spin magnetization = 0.00 μB per formula unit
1.0
4.522 0.003 -0.002
1.082 4.390 0.002
-2.205 -2.958 2.614
Co B W
1 2 2
Cartesian
0.000 0.000 0.000
3.278 1.589 0.537
0.120 -0.153 2.077
2.284 -0.595 1.306
1.114 2.030 1.308

***

[8]
Nd2Mg | Alexandria | GGA-PBE | relaxed; E_tot = -3.7732 eV/atom; E above lowest polymorph = 0 meV/atom; energy of formation = -63 meV/atom; space group = P4/mmm, No. 123; spin magnetization = 0.00 μB per formula unit
1.0
3.812 0.000 0.000
0.000 3.812 0.000
0.000 0.000 13.004
Nd Mg
4 2
Cartesian
1.906 1.906 0.000
1.906 1.906 3.967
0.000 0.000 6.502
1.906 1.906 9.037
0.000 0.000 11.031
0.000 0.000 1.973

***

[9]
ZnWCl | Alexandria | GGA-PBE | relaxed; E_tot = -5.1359 eV/atom; E above lowest polymorph = 0 meV/atom; E_form (uncorrected) = 0.222 eV/atom; space group = P3m1, No. 156; spin magnetization = 0.00 μB per formula unit
1.0
2.942 0.000 0.000
-1.471 2.548 0.000
0.000 0.000 7.931
Cl W Zn
1 1 1
Cartesian
0.000 0.000 0.714
0.000 1.699 2.511
1.471 0.849 4.706

***

[10]
AcGdHgPt | Alexandria | GGA-PBE | relaxed; E_tot = -6.8350 eV/atom; energy of formation = -702 meV/atom; space group = F-43m, No. 216; spin magnetization = 7.12 μB per formula unit
1.0
5.349 0.000 0.000
2.675 4.633 0.000
2.675 1.544 4.368
Ac Gd Hg Pt
1 1 1 1
Cartesian
5.349 3.088 2.184
0.000 0.000 0.000
2.675 1.544 1.092
8.024 4.633 3.276

***

[11]
Si3W | Alexandria | GGA-PBE | relaxed; E_tot = -6.9141 eV/atom; E above lowest polymorph = 396 meV/atom; E_form (uncorrected) = 0.391 eV/atom; space group = I4/mmm, No. 139; spin magnetization = 0.00 μB per formula unit
1.0
4.713 -0.025 0.000
1.687 4.401 0.000
-3.200 -2.188 2.681
Si W
3 1
Cartesian
0.843 2.201 1.341
3.200 2.188 0.000
2.357 -0.013 1.341
0.000 0.000 0.000

***

[12]
Dy3Ti5N12 | Alexandria | GGA-PBE | relaxed; E_tot = -8.4388 eV/atom; E_form (uncorrected) = -0.780 eV/atom; space group = Ia-3d, No. 230; spin magnetization = 0.00 μB per formula unit
1.0
-9.544 0.987 -5.335
-1.923 -2.646 10.480
5.436 9.528 -0.431
Dy Ti N
12 20 48
Cartesian
-7.199 0.939 -0.125
-9.113 0.071 3.138
-1.624 4.341 5.590
-0.588 3.489 -0.185
-7.232 2.915 -3.466
-3.422 1.099 4.441
-2.609 6.771 0.272
1.201 4.955 8.180
-5.443 4.381 4.899
-4.407 3.529 -0.876
3.083 7.799 1.576
1.169 6.930 4.839
-0.555 1.513 3.155
-0.961 -1.323 5.240
0.000 0.000 0.000
-3.380 0.900 0.565
-2.054 5.258 -2.883
-5.733 -0.829 2.572
-0.597 1.712 7.031
-2.642 8.747 -3.068
-6.321 2.660 2.387
0.258 7.186 -1.014
-6.288 0.684 5.727
-3.015 3.935 2.357
-4.772 0.494 -2.668
2.718 4.764 -0.215
0.290 5.210 2.327
-3.389 -0.877 7.782
1.757 3.441 5.025
-5.434 6.158 -2.318
-2.650 6.970 4.148
-5.475 6.356 1.558
-6.827 0.651 -2.525
-1.862 2.808 3.648
-8.411 2.744 -1.330
-4.788 1.119 -0.699
-3.272 5.176 3.988
-9.438 1.097 0.942
-2.344 2.155 6.416
-1.979 -1.179 9.026
-3.827 4.482 6.732
-6.906 0.849 2.301
-6.408 3.153 0.549
-9.428 -1.321 5.124
0.364 3.282 6.543
-3.936 0.124 2.214
-0.512 1.301 8.889
-0.956 5.729 -1.198
-0.047 1.588 1.321
-5.307 -0.455 4.559
-8.001 1.184 5.061
-1.443 -0.099 3.647
-1.183 5.358 7.815
-4.596 2.879 3.165
-7.373 3.759 3.533
-3.220 8.632 -1.257
-1.434 4.991 1.549
1.343 4.111 1.181
-2.811 -0.763 5.971
1.970 6.685 -0.347
-4.848 2.512 -3.101
-4.588 7.968 1.067
-0.724 8.325 0.155
-5.075 2.141 5.912
-5.983 6.282 3.393
-5.518 6.569 -4.175
-6.395 4.587 -1.829
3.398 9.191 -0.410
-2.095 7.746 2.500
-2.204 3.388 -2.018
0.876 7.020 2.413
0.378 4.717 4.165
-4.052 9.048 -4.312
-3.687 5.715 -1.703
-1.243 6.750 5.413
3.408 6.772 3.772
-2.759 2.693 0.726
2.381 5.126 6.044
-4.168 5.062 1.065
0.796 7.219 7.239

***

[13]
AcIn4PbS8 | Alexandria | GGA-PBE | relaxed; E_tot = -4.4449 eV/atom; E_form (uncorrected) = -0.746 eV/atom; space group = R3m, No. 160; spin magnetization = 0.00 μB per formula unit
1.0
7.934 0.000 0.000
3.967 6.871 0.000
3.967 2.290 7.129
Ac In Pb S
1 4 1 8
Cartesian
3.967 2.290 7.108
7.934 4.581 0.929
3.967 4.577 3.565
5.947 1.147 3.565
1.987 1.147 3.565
7.934 4.581 6.304
7.934 7.009 5.054
10.037 3.366 5.054
5.831 3.366 5.054
3.967 2.290 2.260
7.934 2.197 2.021
5.870 5.772 2.021
9.998 5.772 2.021
11.901 6.871 4.950

***

[14]
YHo2Al | Alexandria | GGA-PBE | relaxed; E_tot = -5.0399 eV/atom; E above lowest polymorph = 0 meV/atom; energy of formation = -199 meV/atom; space group = Amm2, No. 38; spin magnetization = 0.00 μB per formula unit
1.0
-4.684 -1.430 2.020
-1.768 -2.687 -6.004
3.174 -3.857 4.631
Y Ho Al
2 4 2
Cartesian
-0.869 -5.651 0.930
-1.540 -2.528 1.585
-0.028 -4.368 3.788
-0.069 -1.609 -1.300
0.601 -4.728 -1.954
-0.905 -2.892 -4.146
-2.464 -3.792 -1.452
1.530 -3.468 1.094

***

[15]
Ac6La3PrNd2 | Alexandria | GGA-PBE | relaxed; E_tot = -4.4560 eV/atom; energy of formation = 23 meV/atom; space group = C2/m, No. 12; spin magnetization = 0.00 μB per formula unit
1.0
6.724 -0.005 0.008
-3.365 5.822 0.008
-1.141 -1.976 12.413
Ac La Pr Nd
6 3 1 2
Cartesian
3.346 1.906 9.353
2.234 3.868 3.086
-1.128 1.934 3.076
-0.021 3.850 9.353
-0.016 -0.028 9.344
2.239 -0.010 3.076
-2.251 3.861 6.215
4.469 -0.021 6.215
1.109 1.920 6.215
0.000 0.000 0.000
-0.002 3.879 0.008
3.361 1.937 0.008

***

[16]
Li5CdHg8 | Alexandria | GGA-PBE | relaxed; E_tot = -1.1382 eV/atom; energy of formation = -217 meV/atom; space group = I-4, No. 82; spin magnetization = 0.00 μB per formula unit
1.0
7.336 -0.083 0.142
-2.560 6.875 -0.142
-2.216 -3.517 6.047
Li Cd Hg
5 1 8
Cartesian
-0.922 1.931 0.718
3.602 5.391 1.323
2.527 2.016 4.174
2.560 -1.800 3.095
-0.086 -2.787 5.878
-1.108 0.779 4.500
-1.093 4.833 0.326
5.191 -2.015 4.182
4.087 0.439 2.239
1.702 -0.486 5.464
1.590 3.247 1.468
0.142 3.341 5.215
0.881 0.391 2.370
-2.259 3.351 2.923

***

[17]
SrAl3Hg3 | Alexandria | GGA-PBE | relaxed; E_tot = -1.8883 eV/atom; energy of formation = 85 meV/atom; space group = Pm-3n, No. 223; spin magnetization = 0.00 μB per formula unit
1.0
-4.321 5.585 2.276
-3.189 -4.492 4.970
5.119 1.916 5.016
Sr Hg Al
2 6 6
Cartesian
-1.195 1.505 6.131
0.000 0.000 0.000
1.479 2.354 3.077
-0.314 -1.767 3.739
-4.552 -0.576 4.865
-0.681 5.147 4.215
2.245 -0.809 6.247
-2.958 1.670 2.380
1.762 -0.165 3.751
0.168 -2.411 6.236
1.679 4.230 4.900
-4.835 1.943 4.192
-0.881 3.272 2.392
-2.675 -0.850 3.054

***

[18]
Cs2KMg2 | Alexandria | GGA-PBE | relaxed; E_tot = -0.9080 eV/atom; E above lowest polymorph = 99 meV/atom; energy of formation = 291 meV/atom; space group = P4/mbm, No. 127; spin magnetization = 0.00 μB per formula unit
1.0
11.697 0.000 0.000
0.000 11.697 0.000
0.000 0.000 4.419
Cs K Mg
4 2 4
Cartesian
4.191 10.040 0.000
10.040 7.506 0.000
7.506 1.658 0.000
1.658 4.191 0.000
0.000 0.000 0.000
5.849 5.849 0.000
1.785 7.634 2.210
7.634 9.912 2.210
9.912 4.063 2.210
4.063 1.785 2.210

***

[19]
Zr2MnTl2S6 | Alexandria | GGA-PBE | relaxed; E_tot = -6.1303 eV/atom; E_form (uncorrected) = -1.061 eV/atom; space group = C2/m, No. 12; spin magnetization = 5.00 μB per formula unit
1.0
-1.532 5.982 1.912
-2.855 -5.118 2.728
6.973 -0.558 3.715
Zr Mn Tl S
2 1 2 6
Cartesian
1.073 -1.700 4.313
1.514 2.006 4.041
3.487 -0.279 1.857
-1.752 4.139 2.047
-2.635 -3.276 2.592
1.584 0.248 5.942
3.576 -2.050 3.774
1.003 0.058 2.412
4.020 1.680 3.500
-0.989 2.356 4.580
-1.433 -1.374 4.854

***

[20]
K2BeC | Alexandria | GGA-PBE | relaxed; E_tot = -3.3019 eV/atom; E above lowest polymorph = 0 meV/atom; energy of formation = 484 meV/atom; space group = I-42d, No. 122; spin magnetization = 0.00 μB per formula unit
1.0
11.698 0.000 0.000
0.000 11.698 0.000
5.849 5.849 1.672
Be K C
2 4 2
Cartesian
5.849 5.849 0.000
5.849 11.698 0.836
11.469 2.925 0.418
11.928 8.774 0.418
8.774 6.078 1.254
14.623 5.620 1.254
0.000 0.000 0.000
11.698 5.849 0.836